Crystalline PmPbI2 at its relaxed geometry, computed with PBE.

Its uncorrected formation energy is -0.31 eV per atom.

Unit cell a=3.9928 b=3.9928 c=34.2221 alpha=90.00 beta=90.00 gamma=120.00
With the nearest neighbours (Å) after each atom.
Space group R-3m (No. 166, hexagonal axes)
Asymmetric unit:
Pm: 0.0000 0.0000 0.0000 (multiplicity 3)  2 I 3.02
Pb: 0.0000 0.0000 0.5000 (multiplicity 3)  6 I 3.54
I: 0.0000 0.0000 0.0882 (multiplicity 6)  1 Pm 3.02